Hf2GaAu2 (PBE-GGA, relaxed); uncorrected energy = -6.289 eV per atom; crystal system = tetragonal; total moment = 0.00 μB per atom
1.0
7.128 0.000 0.000
0.000 7.128 0.000
0.000 0.000 3.869
Au Ga Hf
4 2 4
direct
0.364 0.864 0.000 Au
0.864 0.636 0.000 Au
0.136 0.364 0.000 Au
0.636 0.136 0.000 Au
0.000 0.000 0.000 Ga
0.500 0.500 0.000 Ga
0.331 0.169 0.500 Hf
0.669 0.831 0.500 Hf
0.831 0.331 0.500 Hf
0.169 0.669 0.500 Hf

---

Ba2LaCdPd (PBE-GGA, relaxed); uncorrected energy = -3.161 eV per atom; crystal system = tetragonal; total moment = 0.00 μB per atom
1.0
6.293 0.000 0.000
0.000 6.293 0.000
0.000 0.000 5.533
Ba Pd La Cd
2 1 1 1
direct
0.000 0.500 0.000 Ba
0.500 0.000 0.000 Ba
0.000 0.000 0.000 Pd
0.000 0.000 0.500 La
0.500 0.500 0.500 Cd

---

LiHgS2O8 (PBE-GGA, relaxed); uncorrected energy = -5.250 eV per atom; formation energy (no corrections) = -1.07 eV/atom; crystal system = trigonal; total moment = 0.09 μB per atom
1.0
-4.441 1.945 0.623
-3.987 -2.743 -0.685
-2.682 -2.134 6.720
O S Hg Li
8 2 1 1
direct
0.220 0.949 0.302 O
0.051 0.780 0.698 O
0.529 0.220 0.302 O
0.326 0.326 0.023 O
0.674 0.674 0.977 O
0.780 0.471 0.698 O
0.949 0.529 0.302 O
0.471 0.051 0.698 O
0.746 0.746 0.762 S
0.254 0.254 0.238 S
0.000 0.000 0.000 Hg
0.500 0.500 0.500 Li

---

TiMnSi4 (PBE-GGA, relaxed); uncorrected energy = -6.861 eV per atom; formation energy (no corrections) = -0.40 eV/atom; crystal system = monoclinic; total moment = 0.05 μB per atom
1.0
-2.282 -5.380 11.390
3.548 -2.765 -0.595
4.133 1.306 1.445
Si Mn Ti
12 3 3
direct
0.252 0.323 0.842 Si
0.079 0.833 0.844 Si
0.914 0.160 0.667 Si
0.418 0.167 0.673 Si
0.585 0.836 0.832 Si
0.585 0.164 0.168 Si
0.252 0.677 0.158 Si
0.079 0.167 0.156 Si
0.914 0.840 0.333 Si
0.752 0.330 0.839 Si
0.418 0.833 0.327 Si
0.752 0.670 0.161 Si
0.912 0.500 0.000 Mn
0.418 0.500 0.000 Mn
0.755 0.000 0.500 Mn
0.249 0.000 0.500 Ti
0.586 0.500 0.500 Ti
0.081 0.500 0.500 Ti